Entry 1:
{"formula": "Gd2Fe2BrCl", "functional": "PBE", "state": "relaxed", "final_energy_ev_per_fu": -35.50, "sg": "P3m1", "magmom_total_mub_per_cell": 2.1, "lattice_angstrom": [[3.8747, 0.0000, 0.0000], [-1.9374, 3.3556, 0.0000], [0.0000, 0.0000, 11.2215]], "species": ["Gd", "Gd", "Fe", "Fe", "Br", "Cl"], "frac_coords": [[0.0000, 0.0000, 0.0000], [0.0000, 0.0000, 0.3571], [0.3333, 0.6667, 0.1729], [0.6667, 0.3333, 0.1844], [0.3333, 0.6667, 0.5299], [0.6667, 0.3333, 0.8451]]}

***

Entry 2:
{"formula": "Sr2Cd3Cl2O4", "functional": "PBE", "state": "relaxed", "final_energy_ev_per_fu": -47.11, "sg": "I4/mmm", "lattice_angstrom": [[-3.0704, 3.0704, 5.9390], [3.0704, -3.0704, 5.9390], [3.0704, 3.0704, -5.9390]], "species": ["Sr", "Sr", "Cd", "Cd", "Cd", "Cl", "Cl", "O", "O", "O", "O"], "frac_coords": [[0.1374, 0.1374, 0.0000], [0.8626, 0.8626, 0.0000], [0.0000, 0.5000, 0.5000], [0.5000, 0.0000, 0.5000], [0.5000, 0.5000, 0.0000], [0.2500, 0.7500, 0.5000], [0.7500, 0.2500, 0.5000], [0.2343, 0.2343, 0.4685], [0.2343, 0.7657, 0.0000], [0.7657, 0.2343, 0.0000], [0.7657, 0.7657, 0.5315]]}